A plane-wave DFT calculation with meta-GGA SCAN was carried out for a PBEsol-optimized structure of La2IrRh.

a = 4.091 Å, b = 4.091 Å, c = 5.758 Å
α = 90.00°, β = 90.00°, γ = 90.00°
Space group P4/mmm (No. 123)
Symmetry-distinct sites (fractional):
La  0.000  0.000  0.000 (multiplicity 1)
La  0.500  0.500  0.500 (multiplicity 1)
Ir  0.000  0.000  0.500 (multiplicity 1)
Rh  0.500  0.500  0.000 (multiplicity 1)

Results
The value obtained for the electronic total energy is -48.401 eV per atom. As for the formation energy: -0.631 eV/atom.